Model one:
Compound: Ac2MgBi
Source: the Alexandria database
Functional: PBE
Structure: relaxed

Summary:
ρ = 8.0 g/cm3
volume = 35.8 Å³/atom

POSCAR file:
```
Ac2MgBi
1.0
4.341 0.000 0.000
0.000 4.341 0.000
0.000 0.000 7.594
Ac Mg Bi
2 1 1
Direct
0.000 0.000 0.244
0.000 0.000 0.756
0.500 0.500 0.500
0.500 0.500 0.000
```

***

Model two:
Compound: Ac2MgBi
Source: the Alexandria database
Functional: PBE
Structure: relaxed

Summary:
ρ = 7.9 g/cm3
volume = 36.0 Å³/atom

POSCAR file:
```
Ac2MgBi
1.0
0.000 4.158 4.158
4.158 0.000 4.158
4.158 4.158 0.000
Ac Mg Bi
2 1 1
Direct
0.250 0.250 0.250
0.750 0.750 0.750
0.000 0.000 0.000
0.500 0.500 0.500
```

***

Model three:
Compound: Ac2MgBi
Source: the Alexandria database
Functional: PBE
Structure: relaxed

Summary:
ρ = 5.9 g/cm3
volume = 48.3 Å³/atom

POSCAR file:
```
Ac2MgBi
1.0
2.193 1.266 11.601
-2.193 1.266 11.601
0.000 -2.532 11.601
Ac Mg Bi
2 1 1
Direct
0.105 0.105 0.105
0.895 0.895 0.895
0.000 0.000 0.000
0.500 0.500 0.500
```

***

Which is the most stable structure? model one is the most stable.

***

Model one:
Compound: Ac2MnBi
Source: the Alexandria database
Functional: PBE
Structure: relaxed

Summary:
ρ = 8.9 g/cm3
volume = 33.7 Å³/atom

POSCAR file:
```
Ac2MnBi
1.0
5.619 0.000 0.000
0.000 5.619 0.000
0.000 0.000 4.265
Ac Mn Bi
2 1 1
Direct
0.000 0.500 0.000
0.500 0.000 0.000
0.000 0.000 0.500
0.500 0.500 0.500
```

***

Model two:
Compound: Ac2MnBi
Source: the Alexandria database
Functional: PBE
Structure: relaxed

Summary:
ρ = 8.3 g/cm3
volume = 35.9 Å³/atom

POSCAR file:
```
Ac2MnBi
1.0
1.852 1.069 12.089
-1.852 1.069 12.089
0.000 -2.138 12.089
Ac Mn Bi
2 1 1
Direct
0.086 0.086 0.086
0.914 0.914 0.914
0.000 0.000 0.000
0.500 0.500 0.500
```

***

Which is the most stable structure? model one is the most stable.

***

Model one:
Compound: Ac3BiN2
Source: the Alexandria database
Functional: PBE
Structure: relaxed

Summary:
ρ = 8.0 g/cm3
volume = 31.6 Å³/atom

POSCAR file:
```
Ac3BiN2
1.0
5.016 -6.084 0.000
5.016 6.084 0.000
0.000 0.000 6.212
Ac Bi N
6 2 4
Direct
0.098 0.902 0.750
0.178 0.383 0.750
0.383 0.178 0.250
0.617 0.822 0.750
0.822 0.617 0.250
0.902 0.098 0.250
0.317 0.683 0.250
0.683 0.317 0.750
0.158 0.158 0.000
0.158 0.158 0.500
0.842 0.842 0.000
0.842 0.842 0.500
```

***

Model two:
Compound: Ac3BiN2
Source: the Alexandria database
Functional: PBE
Structure: relaxed

Summary:
ρ = 9.5 g/cm3
volume = 26.8 Å³/atom

POSCAR file:
```
Ac3BiN2
1.0
3.812 0.000 0.000
0.000 12.117 0.000
0.000 0.000 6.963
Ac Bi N
6 2 4
Direct
0.000 0.095 0.000
0.000 0.905 0.500
0.500 0.166 0.527
0.500 0.387 0.854
0.500 0.613 0.354
0.500 0.834 0.027
0.000 0.366 0.278
0.000 0.634 0.778
0.000 0.250 0.770
0.000 0.750 0.270
0.500 0.003 0.797
0.500 0.997 0.297
```

***

Which is the most stable structure? model one is the most stable.

***

Model one:
Compound: AcBiN
Source: the Alexandria database
Functional: PBE
Structure: relaxed

Summary:
ρ = 8.5 g/cm3
volume = 29.1 Å³/atom

POSCAR file:
```
AcBiN
1.0
-1.866 1.866 6.276
1.866 -1.866 6.276
1.866 1.866 -6.276
Ac Bi N
1 1 1
Direct
0.000 0.000 0.000
0.299 0.299 0.000
0.487 0.487 0.000
```

***

Model two:
Compound: AcBiN
Source: the Alexandria database
Functional: PBE
Structure: relaxed

Summary:
ρ = 8.7 g/cm3
volume = 28.6 Å³/atom

POSCAR file:
```
AcBiN
1.0
4.341 0.000 0.000
0.000 4.341 0.000
0.000 0.000 9.112
Ac Bi N
2 2 2
Direct
0.250 0.250 0.131
0.750 0.750 0.869
0.250 0.250 0.565
0.750 0.750 0.435
0.250 0.750 0.000
0.750 0.250 0.000
```

***

Which is the most stable structure? model two is the most stable.

***

Model one:
Compound: Ac3BiN
Source: the Alexandria database
Functional: PBE
Structure: relaxed

Summary:
ρ = 9.8 g/cm3
volume = 30.6 Å³/atom

POSCAR file:
```
Ac3BiN
1.0
5.350 0.000 0.000
0.000 5.350 0.000
0.000 0.000 5.350
Ac Bi N
3 1 1
Direct
0.000 0.000 0.500
0.000 0.500 0.000
0.500 0.000 0.000
0.500 0.500 0.500
0.000 0.000 0.000
```

***

Model two:
Compound: Ac3BiN
Source: the Alexandria database
Functional: PBE
Structure: relaxed

Summary:
ρ = 8.8 g/cm3
volume = 34.3 Å³/atom

POSCAR file:
```
Ac3BiN
1.0
2.540 -13.305 0.000
2.540 13.305 0.000
0.000 0.000 5.070
Ac Bi N
6 2 2
Direct
0.069 0.931 0.750
0.311 0.689 0.250
0.426 0.574 0.750
0.574 0.426 0.250
0.689 0.311 0.750
0.931 0.069 0.250
0.175 0.825 0.250
0.825 0.175 0.750
0.402 0.598 0.250
0.598 0.402 0.750
```

***

Which is the most stable structure? model two is the most stable.

***

Model one:
Compound: NaAcBi
Source: the Alexandria database
Functional: PBE
Structure: relaxed

Summary:
ρ = 7.2 g/cm3
volume = 35.2 Å³/atom

POSCAR file:
```
NaAcBi
1.0
-2.263 2.263 5.157
2.263 -2.263 5.157
2.263 2.263 -5.157
Na Ac Bi
1 1 1
Direct
0.000 0.000 0.000
0.321 0.321 0.000
0.671 0.671 0.000
```

***

Model two:
Compound: NaAcBi
Source: the Alexandria database
Functional: PBE
Structure: relaxed

Summary:
ρ = 6.4 g/cm3
volume = 39.7 Å³/atom

POSCAR file:
```
NaAcBi
1.0
0.000 3.905 3.905
3.905 0.000 3.905
3.905 3.905 0.000
Na Ac Bi
1 1 1
Direct
0.000 0.000 0.000
0.500 0.500 0.500
0.750 0.750 0.750
```

***

Which is the most stable structure? model two is the most stable.

***

Model one:
Compound: NaAcBi
Source: the Alexandria database
Functional: PBE
Structure: relaxed

Summary:
ρ = 6.3 g/cm3
volume = 40.1 Å³/atom

POSCAR file:
```
NaAcBi
1.0
6.083 -2.234 0.000
6.083 2.234 0.000
-1.666 0.000 8.862
Na Ac Bi
2 2 2
Direct
0.145 0.145 0.083
0.855 0.855 0.917
0.138 0.138 0.628
0.862 0.862 0.372
0.421 0.421 0.677
0.579 0.579 0.323
```

***

Model two:
Compound: NaAcBi
Source: the Alexandria database
Functional: PBE
Structure: relaxed

Summary:
ρ = 7.4 g/cm3
volume = 34.3 Å³/atom

POSCAR file:
```
NaAcBi
1.0
5.111 0.000 0.000
-2.555 4.426 0.000
0.000 0.000 4.552
Na Ac Bi
1 1 1
Direct
0.000 0.000 0.000
0.667 0.333 0.501
0.333 0.667 0.003
```

***

Which is the most stable structure? model two is the most stable.

***

Model one:
Compound: Na2AcBi
Source: the Alexandria database
Functional: PBE
Structure: relaxed

Summary:
ρ = 6.3 g/cm3
volume = 32.0 Å³/atom

POSCAR file:
```
Na2AcBi
1.0
0.000 4.000 4.000
4.000 0.000 4.000
4.000 4.000 0.000
Na Ac Bi
2 1 1
Direct
0.250 0.250 0.250
0.750 0.750 0.750
0.000 0.000 0.000
0.500 0.500 0.500
```

***

Model two:
Compound: Na2AcBi
Source: the Alexandria database
Functional: PBE
Structure: relaxed

Summary:
ρ = 5.7 g/cm3
volume = 35.4 Å³/atom

POSCAR file:
```
Na2AcBi
1.0
4.880 0.000 0.000
0.000 4.880 0.000
0.000 0.000 5.942
Na Ac Bi
2 1 1
Direct
0.000 0.500 0.000
0.500 0.000 0.000
0.000 0.000 0.500
0.500 0.500 0.500
```

***

Which is the most stable structure? model two is the most stable.